Record 1
8
Lattice="4.154 0.000 0.000 0.000 7.206 0.129 0.000 -2.513 6.756" Properties=species:S:1:pos:R:3 comment="PrSmNp2Se4 | the Alexandria database | PBE | optimized geometry" e_form_raw_mev_per_atom=-1456 final_energy_ev_per_fu=-60.96 spacegroup="P2/m (10)" pbc="T T T"
Se 2.077 3.545 5.108
Se 0.000 4.799 1.861
Pr 2.077 3.603 0.065
Sm 0.000 0.000 0.000
Np 0.000 2.347 3.443
Se 0.000 -0.105 5.024
Se 2.077 1.148 1.777
Np 2.077 -1.256 3.378

=====

Record 2
12
Lattice="-0.506 -3.275 2.012 -4.465 -6.144 -11.122 4.021 -1.204 -0.949" Properties=species:S:1:pos:R:3 comment="ZrTiAl | the Alexandria database | PBE | optimized geometry" formation_enthalpy_0k_ev_per_atom=-0.3190 final_energy_ev_per_fu=-21.14 spacegroup="Cmcm (63)" pbc="T T T"
Zr -1.850 -5.519 -5.713
Ti 1.908 -2.427 -3.470
Al 0.346 -4.576 -7.361
Ti -2.352 -4.921 -8.600
Ti -0.373 -3.487 -2.033
Al -3.276 -7.481 -9.265
Zr -1.080 -6.539 -10.912
Zr 0.900 -5.104 -4.345
Zr 0.635 -0.810 -1.158
Al -0.790 -2.772 -4.710
Ti -0.577 -7.137 -8.025
Al 2.325 -3.142 -0.794